# 1
## LaZnMo2 (PBE)

Data for an optimized crystal structure of LaZnMo2.

a = 2.7798 Å, b = 2.7798 Å, c = 9.6092 Å
α = 90.00°, β = 90.00°, γ = 90.00°
Last column: nearest neighbours and their distance in Å.
Element x y z (fractional)
1 La 0.5000 0.5000 0.7500  4 La 2.78
2 Mo 0.0000 0.0000 0.0399  4 Mo 2.78, 4 Zn 2.82
3 Mo 0.0000 0.0000 0.4601  4 Mo 2.78, 4 Zn 2.82
4 Zn 0.5000 0.5000 0.2500  4 Zn 2.78, 8 Mo 2.82

Calculated values
As for the formation energy: 502 meV/atom.

=====

# 2
## LaZnMo2 (PBE)

Data for an optimized crystal structure of LaZnMo2.

a = 4.7872 Å, b = 4.7872 Å, c = 4.7872 Å
α = 120.26°, β = 120.26°, γ = 89.55°
Last column: nearest neighbours and their distance in Å.
Element x y z (fractional)
1 La 0.7500 0.2500 0.5000  4 Mo 2.93, 4 Zn 2.93
2 Mo 0.0000 0.0000 0.0000  4 Mo 2.93, 4 La 2.93
3 Mo 0.2500 0.7500 0.5000  4 Mo 2.93, 4 Zn 2.93
4 Zn 0.5000 0.5000 0.0000  4 La 2.93, 4 Mo 2.93

Calculated values
As for the formation energy: 449 meV/atom.

=====

# 3
## LaZnMo2 (PBE)

Data for an optimized crystal structure of LaZnMo2.

a = 5.4766 Å, b = 5.4766 Å, c = 5.4766 Å
α = 144.07°, β = 126.94°, γ = 65.75°
Last column: nearest neighbours and their distance in Å.
Element x y z (fractional)
1 La 0.2500 0.7500 0.5000  4 Mo 2.90, 4 Zn 2.97
2 Mo 0.9935 0.9935 0.0000  2 Zn 2.81, 2 La 2.90, 4 Mo 2.98
3 Mo 0.5065 0.5065 0.0000  2 Zn 2.81, 2 La 2.90, 4 Mo 2.98
4 Zn 0.7500 0.2500 0.5000  4 Mo 2.81, 4 La 2.97

Calculated values
As for the formation energy: 593 meV/atom.

=====

# 4
## LaZnMo2 (PBE)

Data for an optimized crystal structure of LaZnMo2.

a = 5.0450 Å, b = 5.0450 Å, c = 5.3806 Å
α = 79.25°, β = 79.25°, γ = 38.64°
Last column: nearest neighbours and their distance in Å.
Element x y z (fractional)
1 La 0.7500 0.7500 0.7500  6 Mo 3.11-3.33, 4 Zn 3.17, 2 La 3.34
2 Mo 0.9764 0.9764 0.0949  2 Mo 2.46, 2 Zn 2.72
3 Mo 0.5236 0.5236 0.4051  2 Mo 2.46, 2 Zn 2.72
4 Zn 0.2500 0.2500 0.2500  6 Mo 2.72-2.89

Calculated values
As for the formation energy: 387 meV/atom.

=====

# 5
## LaZnMo2 (PBE)

Data for an optimized crystal structure of LaZnMo2.

a = 4.7917 Å, b = 3.3153 Å, c = 5.4938 Å
α = 80.24°, β = 90.00°, γ = 90.00°
Last column: nearest neighbours and their distance in Å.
Element x y z (fractional)
1 La 0.5000 0.7500 0.7500  2 Zn 2.96, 4 Mo 3.28
2 Mo 0.0000 0.0578 0.0830  2 Mo 2.40-2.50, 2 Zn 2.68
3 Mo 0.0000 0.4422 0.4170  2 Mo 2.40-2.50, 2 Zn 2.68
4 Zn 0.5000 0.2500 0.2500  4 Mo 2.68, 2 La 2.96

Calculated values
As for the formation energy: 475 meV/atom.

=====

# 6
## LaZnMo2 (PBE)

Data for an optimized crystal structure of LaZnMo2.

a = 5.5589 Å, b = 5.5589 Å, c = 2.7158 Å
α = 90.00°, β = 90.00°, γ = 115.19°
Last column: nearest neighbours and their distance in Å.
Element x y z (fractional)
1 La 0.0000 0.5000 0.5000  2 La 2.72, 2 Zn 2.98
2 Mo 0.0000 0.0000 0.0000  4 Mo 2.72-2.98
3 Mo 0.5000 0.5000 0.0000  4 Mo 2.72-2.98
4 Zn 0.5000 0.0000 0.5000  2 Zn 2.72, 2 La 2.98

Calculated values
As for the formation energy: 683 meV/atom.